[1]
Entry from the Alexandria database: a relaxed YMoOs2 crystal (PBE-GGA).

abc: 2.8598 2.8598 29.1351
angles: 90.00 90.00 120.00
With the nearest neighbours (Å) after each atom.
Positions (direct):
Y  0.0000  0.0000  0.0000  6 Y 2.86, 3 Os 3.11
Y  0.3333  0.6667  0.6667  6 Y 2.86, 3 Os 3.11
Y  0.6667  0.3333  0.3333  6 Y 2.86, 3 Os 3.11
Mo  0.0000  0.0000  0.7621  3 Os 2.73, 6 Mo 2.86
Mo  0.3333  0.6667  0.4288  3 Os 2.73, 6 Mo 2.86
Mo  0.6667  0.3333  0.0955  3 Os 2.73, 6 Mo 2.86
Os  0.0000  0.0000  0.2429  9 Os 2.68-2.86
Os  0.0000  0.0000  0.5036  9 Os 2.68-2.86, 3 Mo 2.73
Os  0.3333  0.6667  0.1702  9 Os 2.68-2.86, 3 Mo 2.73
Os  0.3333  0.6667  0.9096  9 Os 2.68-2.86
Os  0.6667  0.3333  0.5762  9 Os 2.68-2.86
Os  0.6667  0.3333  0.8369  9 Os 2.68-2.86, 3 Mo 2.73

D(E_F) = 18.056 states/eV/cell
Energy of formation = 0.549 eV per atom



[2]
Entry from the Alexandria database: a relaxed PmGa3Rh4 crystal (PBE-GGA).

abc: 8.2648 8.2648 8.2648
angles: 30.54 30.54 30.54
With the nearest neighbours (Å) after each atom.
Positions (direct):
Pm  0.0000  0.0000  0.0000  8 Rh 2.91-3.09
Ga  0.2439  0.2439  0.2439  7 Rh 2.59-2.70
Ga  0.5000  0.5000  0.5000  8 Rh 2.46-2.65
Ga  0.7561  0.7561  0.7561  7 Rh 2.59-2.70
Rh  0.1310  0.1310  0.1310  7 Ga 2.65-2.70
Rh  0.3957  0.3957  0.3957  4 Ga 2.46-2.59
Rh  0.6043  0.6043  0.6043  4 Ga 2.46-2.59
Rh  0.8690  0.8690  0.8690  7 Ga 2.65-2.70

D(E_F) = 2.141 states/eV/cell
Energy of formation = -0.711 eV per atom



[3]
Entry from the Alexandria database: a relaxed Rb2Cd12Ag3Sn crystal (PBE-GGA).

abc: 9.8887 9.8887 9.8887
angles: 57.57 57.57 57.57
With the nearest neighbours (Å) after each atom.
Positions (direct):
Rb  0.1123  0.1123  0.1123  6 Cd 3.83-3.91
Rb  0.8877  0.8877  0.8877  6 Cd 3.83-3.91
Cd  0.1369  0.6052  0.6052  1 Ag 2.86, 1 Sn 2.86, 2 Cd 2.96
Cd  0.1604  0.1604  0.5099  2 Ag 2.81, 2 Cd 2.96
Cd  0.1604  0.5099  0.1604  2 Ag 2.81, 2 Cd 2.96
Cd  0.3948  0.3948  0.8631  1 Ag 2.86, 1 Sn 2.86, 2 Cd 2.96
Cd  0.3948  0.8631  0.3948  1 Ag 2.86, 1 Sn 2.86, 2 Cd 2.96
Cd  0.4901  0.8396  0.8396  2 Ag 2.81, 2 Cd 2.96
Cd  0.5099  0.1604  0.1604  2 Ag 2.81, 2 Cd 2.96
Cd  0.6052  0.1369  0.6052  1 Ag 2.86, 1 Sn 2.86, 2 Cd 2.96
Cd  0.6052  0.6052  0.1369  1 Ag 2.86, 1 Sn 2.86, 2 Cd 2.96
Cd  0.8396  0.4901  0.8396  2 Ag 2.81, 2 Cd 2.96
Cd  0.8396  0.8396  0.4901  2 Ag 2.81, 2 Cd 2.96
Cd  0.8631  0.3948  0.3948  1 Ag 2.86, 1 Sn 2.86, 2 Cd 2.96
Ag  0.0000  0.5000  0.5000  6 Cd 2.81-2.86
Ag  0.5000  0.0000  0.5000  6 Cd 2.81-2.86
Ag  0.5000  0.5000  0.0000  6 Cd 2.81-2.86
Sn  0.5000  0.5000  0.5000  6 Cd 2.86

D(E_F) = 7.248 states/eV/cell
Energy of formation = 0.161 eV per atom



[4]
Entry from the Alexandria database: a relaxed NaLa2SbS6 crystal (PBE-GGA).

abc: 6.7339 7.4168 11.5554
angles: 90.00 123.31 90.00
With the nearest neighbours (Å) after each atom.
Positions (direct):
Na  0.0000  0.0000  0.0000  6 S 2.74-2.79
Na  0.0000  0.5000  0.5000  6 S 2.74-2.79
La  0.2064  0.0957  0.7461  6 S 2.88-3.10
La  0.2064  0.4043  0.2461  6 S 2.88-3.10
La  0.7936  0.5957  0.7539  6 S 2.88-3.10
La  0.7936  0.9043  0.2539  6 S 2.88-3.10
Sb  0.5000  0.0000  0.5000  6 S 2.50-2.56
Sb  0.5000  0.5000  0.0000  6 S 2.50-2.56
S  0.1371  0.1726  0.4451  1 Sb 2.51, 1 Na 2.79
S  0.1371  0.3274  0.9451  1 Sb 2.51, 1 Na 2.79
S  0.2633  0.7046  0.4290  1 Sb 2.56, 1 Na 2.78
S  0.2633  0.7954  0.9290  1 Sb 2.56, 1 Na 2.78
S  0.3996  0.0524  0.2598  1 Sb 2.50, 1 Na 2.74
S  0.3996  0.4476  0.7598  1 Sb 2.50, 1 Na 2.74
S  0.6004  0.5524  0.2402  1 Sb 2.50, 1 Na 2.74
S  0.6004  0.9476  0.7402  1 Sb 2.50, 1 Na 2.74
S  0.7367  0.2046  0.0710  1 Sb 2.56, 1 Na 2.78
S  0.7367  0.2954  0.5710  1 Sb 2.56, 1 Na 2.78
S  0.8629  0.6726  0.0549  1 Sb 2.51, 1 Na 2.79
S  0.8629  0.8274  0.5549  1 Sb 2.51, 1 Na 2.79

Energy relative to the elements, uncorrected = -12.866 eV per formula unit



Number 1: magnetization 0.00 μB per formula unit. Number 2: magnetization 0.00 μB per formula unit. Number 3: magnetization 0.00 μB per formula unit. Number 4: magnetization 0.00 μB per formula unit.